Li2VSiO4: relaxed, GGA+U.

CIF file:
```
data_Li2VSiO4
_chemical_formula_sum 'Li6 V3 Si3 O12'
_cell_length_a 4.880
_cell_length_b 4.996
_cell_length_c 11.860
_cell_angle_alpha 88.13
_cell_angle_beta 89.31
_cell_angle_gamma 62.25
_symmetry_space_group_name_H-M 'P 1'
_symmetry_Int_Tables_number 1
loop_
_symmetry_equiv_pos_as_xyz
'x,y,z'
loop_
_atom_site_label
_atom_site_type_symbol
_atom_site_fract_x
_atom_site_fract_y
_atom_site_fract_z
Li1 Li 0.000 0.000 0.000
Li2 Li 0.098 0.773 0.482
Li3 Li 0.199 0.241 0.310
Li4 Li 0.362 0.289 0.836
Li5 Li 0.541 0.565 0.184
Li6 Li 0.782 0.431 0.674
V1 V 0.159 0.778 0.721
V2 V 0.248 0.381 0.054
V3 V 0.720 0.401 0.444
Si1 Si 0.434 0.114 0.580
Si2 Si 0.668 0.667 0.920
Si3 Si 0.838 0.900 0.248
O1 O 0.091 0.781 0.145
O2 O 0.215 0.291 0.688
O3 O 0.295 0.333 0.466
O4 O 0.388 0.005 0.946
O5 O 0.454 0.773 0.573
O6 O 0.507 0.176 0.202
O7 O 0.575 0.533 0.810
O8 O 0.743 0.432 0.029
O9 O 0.779 0.621 0.300
O10 O 0.790 0.071 0.597
O11 O 0.976 0.017 0.351
O12 O 0.994 0.686 0.892
```

Output
E in eV/atom: -6.809
Crystal system: triclinic
Size of the total moment in μB per cell: 9.00